Entry 1:
Density functional theory data (PBE) for crystalline SrPrSi3 at its relaxed geometry.

The space group is Cmcm (No. 63) and the conventional cell measures 4.465, 25.668 and 4.080 Å, with angles of 90.00, 90.00 and 90.00 degrees. Symmetry generates all atoms from Sr at (0.000, 0.201, 0.250), Pr at (0.000, 0.067, 0.750), Si at (0.000, 0.335, 0.250), Si at (0.000, 0.386, 0.750) and Si at (0.000, 0.477, 0.750).

Its density of states at the Fermi level is 0.56 states/eV per atom.

***

Entry 2:
Density functional theory data (PBE) for crystalline Sr2PrSi4 at its relaxed geometry.

The space group is Immm (No. 71) and the conventional cell measures 4.014, 4.548 and 18.728 Å, with angles of 90.00, 90.00 and 90.00 degrees. Symmetry generates all atoms from Sr at (0.000, 0.000, 0.183), Pr at (0.000, 0.500, 0.500), Si at (0.000, 0.000, 0.366) and Si at (0.000, 0.500, 0.063).

Its density of states at the Fermi level is 0.48 states/eV per atom.

***

Entry 3:
Density functional theory data (PBE) for crystalline SrPrSi at its relaxed geometry.

The space group is F-43m (No. 216) and the conventional cell measures 7.357, 7.357 and 7.357 Å, with angles of 90.00, 90.00 and 90.00 degrees. Symmetry generates all atoms from Sr at (0.000, 0.000, 0.000), Pr at (0.000, 0.000, 0.500) and Si at (0.250, 0.250, 0.750).

Its density of states at the Fermi level is 0.85 states/eV per atom.

***

Entry 4:
Density functional theory data (PBE) for crystalline SrPrSi at its relaxed geometry.

The space group is Amm2 (No. 38) and the conventional cell measures 14.819, 5.094 and 5.101 Å, with angles of 90.00, 90.00 and 90.00 degrees. Symmetry generates all atoms from Sr at (0.134, 0.000, 0.000), Pr at (0.376, 0.000, 0.503), Si at (0.000, 0.000, 0.500) and Si at (0.500, 0.000, 0.003).

Its density of states at the Fermi level is 0.82 states/eV per atom.

***

Entry 5:
Density functional theory data (PBE) for crystalline SrPr4Si4 at its relaxed geometry.

The space group is P4_2/n (No. 86, origin choice 2) and the conventional cell measures 9.757, 9.757 and 5.996 Å, with angles of 90.00, 90.00 and 90.00 degrees. Symmetry generates all atoms from Sr at (0.250, 0.250, 0.250), Pr at (0.110, 0.633, 0.124) and Si at (0.054, 0.579, 0.631).

Its density of states at the Fermi level is 0.69 states/eV per atom.

***

Entry 6:
Density functional theory data (PBE) for crystalline Pr2Ta3Si4 at its relaxed geometry.

The space group is P2_1/c (No. 14) and the conventional cell measures 7.156, 7.166 and 7.036 Å, with angles of 90.00, 108.84 and 90.00 degrees. Symmetry generates all atoms from Pr at (0.185, 0.167, 0.064), Ta at (0.261, 0.673, 0.249), Ta at (0.500, 0.000, 0.500), Si at (0.090, 0.542, 0.874) and Si at (0.497, 0.126, 0.872).

Its density of states at the Fermi level is 0.49 states/eV per atom.

***

Entry 7:
Density functional theory data (PBE) for crystalline PrTaSi2 at its relaxed geometry.

The space group is R-3m (No. 166, hexagonal axes) and the conventional cell measures 3.9385, 3.9385 and 19.2266 Å, with angles of 90.00, 90.00 and 120.00 degrees. Symmetry generates all atoms from Pr at (0.0000, 0.0000, 0.0000), Ta at (0.0000, 0.0000, 0.5000) and Si at (0.0000, 0.0000, 0.2344).

Its density of states at the Fermi level is 0.26 states/eV per atom.

***

Entry 8:
Density functional theory data (PBE) for crystalline PrTaSi2Tc at its relaxed geometry.

The space group is I-4m2 (No. 119) and the conventional cell measures 4.070, 4.070 and 11.303 Å, with angles of 90.00, 90.00 and 90.00 degrees. Symmetry generates all atoms from Pr at (0.000, 0.000, 0.000), Ta at (0.000, 0.500, 0.250), Si at (0.000, 0.000, 0.389) and Tc at (0.000, 0.500, 0.750).

Its density of states at the Fermi level is 0.56 states/eV per atom.

***

Quick rundown of formation energy from raw total energies, same order as above: -0.522, -0.511, -0.304, -0.197, -0.419, -0.642, -0.352, -0.604 eV/atom